# 1
An optimized crystal structure of Co3PtC, computed with GGA-PBE.

```
Co3PtC
1.0
4.592 0.000 0.000
0.000 4.592 0.000
0.000 0.000 4.592
Co Pt C
3 1 1
direct
0.000 0.000 0.500
0.000 0.500 0.000
0.500 0.000 0.000
0.000 0.000 0.000
0.500 0.500 0.500
```

Computed properties:
Electronic total energy   -4.812 eV per atom
Space-group type   Pm-3m
Fermi-level density of states   1.388 states/eV/atom
ΔH_f (0 K)   2.50 eV/atom
Offset from the most stable computed form   2359 meV/atom

# 2
An optimized crystal structure of La3ErCd, computed with GGA-PBE.

```
La3ErCd
1.0
6.517 -1.858 0.000
6.517 1.858 0.000
-2.122 0.000 13.769
La Er Cd
6 2 2
direct
0.013 0.013 0.181
0.285 0.285 0.230
0.361 0.361 0.597
0.639 0.639 0.403
0.715 0.715 0.770
0.987 0.987 0.819
0.359 0.359 0.984
0.641 0.641 0.016
0.083 0.083 0.592
0.917 0.917 0.408
```

Computed properties:
Electronic total energy   -4.151 eV per atom
Space-group type   C2/m
Fermi-level density of states   1.381 states/eV/atom
ΔH_f (0 K)   -0.10 eV/atom
Offset from the most stable computed form   0 meV/atom

# 3
An optimized crystal structure of CdTc2PbO8, computed with GGA-PBE.

```
CdTc2PbO8
1.0
2.655 1.533 7.629
-2.655 1.533 7.629
0.000 -3.066 7.629
Cd Tc Pb O
1 2 1 8
direct
0.000 0.000 0.000
0.249 0.249 0.249
0.751 0.751 0.751
0.500 0.500 0.500
0.062 0.411 0.719
0.171 0.171 0.171
0.281 0.589 0.938
0.411 0.719 0.062
0.589 0.938 0.281
0.719 0.062 0.411
0.829 0.829 0.829
0.938 0.281 0.589
```

Computed properties:
Electronic total energy   -6.571 eV per atom
Space-group type   R32
Fermi-level density of states   0.566 states/eV/atom

# 4
An optimized crystal structure of MnZnSe2Br, computed with GGA-PBE.

```
MnZnSe2Br
1.0
4.604 0.000 0.000
0.000 4.604 0.000
0.000 0.000 5.307
Mn Zn Se Br
1 1 2 1
direct
0.000 0.000 0.000
0.500 0.500 0.500
0.000 0.500 0.000
0.500 0.000 0.000
0.000 0.000 0.500
```

Computed properties:
Electronic total energy   -3.565 eV per atom
Space-group type   P4/mmm
Fermi-level density of states   1.301 states/eV/atom
Offset from the most stable computed form   0 meV/atom

# 5
An optimized crystal structure of EuP2Os, computed with GGA-PBE.

```
EuP2Os
1.0
2.024 1.168 5.053
-2.024 1.168 5.053
0.000 -2.337 5.053
Eu P Os
1 2 1
direct
0.000 0.000 0.000
0.214 0.214 0.214
0.786 0.786 0.786
0.500 0.500 0.500
```

Computed properties:
Electronic total energy   -8.788 eV per atom
Space-group type   R-3m
Fermi-level density of states   0.503 states/eV/atom
ΔH_f (0 K)   -0.71 eV/atom

# 6
An optimized crystal structure of La2DyIn3, computed with GGA-PBE.

```
La2DyIn3
1.0
3.851 0.000 0.000
0.000 3.851 0.000
0.000 0.000 11.900
La Dy In
2 1 3
direct
0.000 0.000 0.174
0.000 0.000 0.826
0.000 0.000 0.500
0.500 0.500 0.000
0.500 0.500 0.350
0.500 0.500 0.650
```

Computed properties:
Electronic total energy   -4.283 eV per atom
Space-group type   P4/mmm
Fermi-level density of states   0.664 states/eV/atom
ΔH_f (0 K)   -0.50 eV/atom
Offset from the most stable computed form   0 meV/atom

# 7
An optimized crystal structure of AlOsCl, computed with GGA-PBE.

```
AlOsCl
1.0
-1.488 1.488 5.640
1.488 -1.488 5.640
1.488 1.488 -5.640
Al Os Cl
1 1 1
direct
0.000 0.000 0.000
0.377 0.377 0.000
0.697 0.697 0.000
```

Computed properties:
Electronic total energy   -5.229 eV per atom
Space-group type   I4mm
Fermi-level density of states   0.808 states/eV/atom
Offset from the most stable computed form   431 meV/atom

# 8
An optimized crystal structure of TmTh3C8, computed with GGA-PBE.

```
TmTh3C8
1.0
4.295 -4.647 0.000
4.295 4.647 0.000
-4.209 0.000 5.036
Tm Th C
1 3 8
direct
0.000 0.000 0.000
0.180 0.820 0.500
0.429 0.571 0.000
0.721 0.279 0.500
0.037 0.591 0.988
0.121 0.394 0.454
0.155 0.202 0.478
0.394 0.179 0.027
0.409 0.963 0.012
0.606 0.879 0.546
0.798 0.845 0.522
0.821 0.606 0.973
```

Computed properties:
Electronic total energy   -8.434 eV per atom
Space-group type   C2
Fermi-level density of states   0.347 states/eV/atom
ΔH_f (0 K)   -0.06 eV/atom

# 9
An optimized crystal structure of ZnB3P, computed with GGA-PBE.

```
ZnB3P
1.0
3.898 0.000 0.000
0.000 3.898 0.000
0.000 0.000 3.898
Zn B P
1 3 1
direct
0.000 0.000 0.000
0.000 0.500 0.500
0.500 0.000 0.500
0.500 0.500 0.000
0.500 0.500 0.500
```

Computed properties:
Electronic total energy   -3.909 eV per atom
Space-group type   Pm-3m
Fermi-level density of states   0.376 states/eV/atom
ΔH_f (0 K)   1.43 eV/atom
Offset from the most stable computed form   0 meV/atom

# 10
An optimized crystal structure of Dy5TlGa4, computed with GGA-PBE.

```
Dy5TlGa4
1.0
3.578 0.000 0.000
0.000 3.578 0.000
0.000 0.000 18.481
Dy Tl Ga
5 1 4
direct
0.000 0.000 0.000
0.000 0.000 0.192
0.000 0.000 0.386
0.000 0.000 0.614
0.000 0.000 0.808
0.500 0.500 0.500
0.500 0.500 0.095
0.500 0.500 0.290
0.500 0.500 0.710
0.500 0.500 0.905
```

Computed properties:
Electronic total energy   -4.283 eV per atom
Space-group type   P4/mmm
Fermi-level density of states   0.385 states/eV/atom
ΔH_f (0 K)   -0.53 eV/atom

# 11
An optimized crystal structure of KCd6Sb2, computed with GGA-PBE.

```
KCd6Sb2
1.0
4.620 0.000 0.000
0.000 4.620 0.000
0.000 0.000 11.335
K Cd Sb
1 6 2
direct
0.000 0.000 0.000
0.000 0.000 0.500
0.000 0.500 0.311
0.000 0.500 0.689
0.500 0.000 0.311
0.500 0.000 0.689
0.500 0.500 0.500
0.500 0.500 0.145
0.500 0.500 0.855
```

Computed properties:
Electronic total energy   -1.751 eV per atom
Space-group type   P4/mmm
Fermi-level density of states   0.437 states/eV/atom

# 12
An optimized crystal structure of Be4Ir, computed with GGA-PBE.

```
Be4Ir
1.0
4.181 0.000 0.000
0.000 4.181 0.000
0.000 0.000 4.181
Be Ir
4 1
direct
0.000 0.000 0.000
0.000 0.500 0.500
0.500 0.000 0.500
0.500 0.500 0.000
0.500 0.500 0.500
```

Computed properties:
Electronic total energy   -4.057 eV per atom
Space-group type   Pm-3m
Fermi-level density of states   0.256 states/eV/atom
ΔH_f (0 K)   0.70 eV/atom
Offset from the most stable computed form   1063 meV/atom

Please write out number 5 again, unchanged.
An optimized crystal structure of EuP2Os, computed with GGA-PBE.

```
EuP2Os
1.0
2.024 1.168 5.053
-2.024 1.168 5.053
0.000 -2.337 5.053
Eu P Os
1 2 1
direct
0.000 0.000 0.000
0.214 0.214 0.214
0.786 0.786 0.786
0.500 0.500 0.500
```

Computed properties:
Electronic total energy   -8.788 eV per atom
Space-group type   R-3m
Fermi-level density of states   0.503 states/eV/atom
ΔH_f (0 K)   -0.71 eV/atom

Question: Which of these has the highest Fermi-level density of states?
Answer: Co3PtC

Question: Look up the Fermi-level density of states of the eleventh one.
Answer: 0.437 states/eV/atom